No. 1
A relaxed SmTePO crystal, computed with PBE.

The structure in POSCAR format:
```
SmTePO
1.0
4.080 -4.080 0.000
4.080 4.080 0.000
0.000 0.000 5.070
O P Sm Te
2 2 2 2
Direct
0.750 0.250 0.000
0.250 0.750 0.000
0.750 0.750 0.494
0.250 0.250 0.506
0.750 0.250 0.500
0.250 0.750 0.500
0.750 0.750 0.001
0.250 0.250 0.999
```

Values from the calculation:
SG: P4/nmm
Energy above the most stable polymorph in this dataset: 396 meV per atom



No. 2
A relaxed RbNaZrTe3 crystal, computed with PBE.

The structure in POSCAR format:
```
RbNaZrTe3
1.0
-0.812 -9.438 1.253
1.272 -0.653 -4.096
10.063 2.897 2.662
Na Rb Te Zr
2 2 6 2
Direct
0.563 0.750 0.107
0.437 0.250 0.893
0.265 0.250 0.233
0.735 0.750 0.767
0.765 0.250 0.070
0.040 0.750 0.363
0.627 0.750 0.390
0.373 0.250 0.610
0.960 0.250 0.637
0.235 0.750 0.930
0.821 0.250 0.347
0.179 0.750 0.653
```

Values from the calculation:
SG: P2_1/m
Energy above the most stable polymorph in this dataset: 1 meV per atom



No. 3
A relaxed GeIr4O8 crystal, computed with PBE.

The structure in POSCAR format:
```
GeIr4O8
1.0
-1.468 6.301 0.029
-2.045 5.534 -2.655
-6.144 -7.230 3.385
Ge Ir O
1 4 8
Direct
0.000 0.000 0.000
0.805 0.805 0.231
0.611 0.611 0.379
0.389 0.389 0.621
0.195 0.195 0.769
0.617 0.617 0.049
0.037 0.037 0.212
0.442 0.442 0.350
0.797 0.797 0.435
0.203 0.203 0.565
0.558 0.558 0.650
0.963 0.963 0.788
0.383 0.383 0.951
```

Values from the calculation:
SG: C2/m



No. 4
A relaxed TmNbSnC crystal, computed with PBE.

The structure in POSCAR format:
```
TmNbSnC
1.0
-1.606 1.838 -2.281
-1.669 -2.276 1.787
-2.948 10.323 10.397
C Nb Sn Tm
2 2 2 2
Direct
0.000 0.000 0.009
0.000 0.000 0.509
0.333 0.667 0.085
0.667 0.333 0.585
0.667 0.333 0.240
0.333 0.667 0.740
0.333 0.667 0.415
0.667 0.333 0.915
```

Values from the calculation:
SG: P6_3mc
Energy above the most stable polymorph in this dataset: 0 meV per atom



Let's list energy in order: -43.2, -51.3, -85.9, -59.8 eV per cell.